# 1
First-principles (GGA-PBE) data for a relaxed structure of Tm4C3F, as listed in Alexandria.

a b c (Å): 7.0620 9.9606 3.5313
angles (deg): 90.00 90.00 90.00
With the nearest neighbours (Å) after each atom.
Atoms (fractional coordinates):
Tm (0.0000, 0.2435, 0.0000)  5 C 2.43-2.50, 1 F 2.55
Tm (0.0000, 0.7565, 0.0000)  5 C 2.43-2.50, 1 F 2.55
Tm (0.2287, 0.0000, 0.5000)  4 C 2.39-2.49, 2 F 2.61
Tm (0.2713, 0.5000, 0.5000)  4 C 2.39-2.49, 2 F 2.61
Tm (0.5000, 0.2565, 0.0000)  5 C 2.43-2.50, 1 F 2.55
Tm (0.5000, 0.7435, 0.0000)  5 C 2.43-2.50, 1 F 2.55
Tm (0.7287, 0.5000, 0.5000)  4 C 2.39-2.49, 2 F 2.61
Tm (0.7713, 0.0000, 0.5000)  4 C 2.39-2.49, 2 F 2.61
C (0.0000, 0.0000, 0.0000)  6 Tm 2.39-2.43
C (0.2500, 0.2500, 0.5000)  6 Tm 2.49-2.50
C (0.2500, 0.7500, 0.5000)  6 Tm 2.49-2.50
C (0.5000, 0.5000, 0.0000)  6 Tm 2.39-2.43
C (0.7500, 0.2500, 0.5000)  6 Tm 2.49-2.50
C (0.7500, 0.7500, 0.5000)  6 Tm 2.49-2.50
F (0.0000, 0.5000, 0.0000)  6 Tm 2.55-2.61
F (0.5000, 0.0000, 0.0000)  6 Tm 2.55-2.61

Calculated values
For the total DFT energy (no corrections), the calculation gives -6.8946 eV per atom. As for the uncorrected formation energy: -0.97 eV per atom.

***

# 2
First-principles (GGA-PBE) data for a relaxed structure of Tm2CF2, as listed in Alexandria.

a b c (Å): 6.0732 3.5058 8.7262
angles (deg): 90.00 105.36 90.00
With the nearest neighbours (Å) after each atom.
Atoms (fractional coordinates):
Tm (0.2273, 0.0000, 0.1594)  3 F 2.33, 3 C 2.43
Tm (0.2727, 0.5000, 0.8406)  3 F 2.33, 3 C 2.43
Tm (0.7273, 0.5000, 0.1594)  3 F 2.33, 3 C 2.43
Tm (0.7727, 0.0000, 0.8406)  3 F 2.33, 3 C 2.43
C (0.0000, 0.5000, 0.0000)  6 Tm 2.43
C (0.5000, 0.0000, 0.0000)  6 Tm 2.43
F (0.0535, 0.0000, 0.7026)  3 Tm 2.33
F (0.4465, 0.5000, 0.2974)  3 Tm 2.33
F (0.5535, 0.5000, 0.7026)  3 Tm 2.33
F (0.9465, 0.0000, 0.2974)  3 Tm 2.33

Calculated values
For the total DFT energy (no corrections), the calculation gives -6.8299 eV per atom. As for the uncorrected formation energy: -2.45 eV per atom.

***

# 3
First-principles (GGA-PBE) data for a relaxed structure of Tm2CF, as listed in Alexandria.

a b c (Å): 3.4816 3.4816 18.4834
angles (deg): 90.00 90.00 120.00
With the nearest neighbours (Å) after each atom.
Atoms (fractional coordinates):
Tm (0.0000, 0.0000, 0.0000)  3 C 2.39
Tm (0.0000, 0.0000, 0.1950)  3 C 2.37, 3 F 2.63
Tm (0.3333, 0.6667, 0.6667)  3 C 2.39
Tm (0.3333, 0.6667, 0.8617)  3 C 2.37, 3 F 2.63
Tm (0.6667, 0.3333, 0.3333)  3 C 2.39
Tm (0.6667, 0.3333, 0.5283)  3 C 2.37, 3 F 2.63
C (0.0000, 0.0000, 0.5963)  6 Tm 2.37-2.39
C (0.3333, 0.6667, 0.2629)  6 Tm 2.37-2.39
C (0.6667, 0.3333, 0.9296)  6 Tm 2.37-2.39
F (0.0000, 0.0000, 0.7703)  6 Tm 2.63-2.78
F (0.3333, 0.6667, 0.4369)  6 Tm 2.63-2.78
F (0.6667, 0.3333, 0.1036)  6 Tm 2.63-2.78

Calculated values
For the total DFT energy (no corrections), the calculation gives -6.4965 eV per atom. As for the uncorrected formation energy: -1.49 eV per atom. The energy above the lowest structure with this stoichiometry comes out at 30.3 kJ/mol of formula units.

***

# 4
First-principles (GGA-PBE) data for a relaxed structure of Tm2CF, as listed in Alexandria.

a b c (Å): 3.4766 6.0847 6.0062
angles (deg): 90.00 90.00 90.00
With the nearest neighbours (Å) after each atom.
Atoms (fractional coordinates):
Tm (0.2500, 0.0061, 0.2219)  3 C 2.41-2.46, 3 F 2.61-2.62
Tm (0.2500, 0.4939, 0.2219)  3 C 2.41-2.46, 3 F 2.61-2.62
Tm (0.7500, 0.5061, 0.7781)  3 C 2.41-2.46, 3 F 2.61-2.62
Tm (0.7500, 0.9939, 0.7781)  3 C 2.41-2.46, 3 F 2.61-2.62
C (0.2500, 0.7500, 0.9044)  6 Tm 2.41-2.46
C (0.7500, 0.2500, 0.0956)  6 Tm 2.41-2.46
F (0.2500, 0.2500, 0.5819)  6 Tm 2.61-2.62
F (0.7500, 0.7500, 0.4181)  6 Tm 2.61-2.62

Calculated values
For the total DFT energy (no corrections), the calculation gives -6.3125 eV per atom. As for the uncorrected formation energy: -1.30 eV per atom. The energy above the lowest structure with this stoichiometry comes out at 101.4 kJ/mol of formula units.

***

# 5
First-principles (GGA-PBE) data for a relaxed structure of Tm2CF, as listed in Alexandria.

a b c (Å): 3.5351 3.5351 17.3347
angles (deg): 90.00 90.00 120.00
With the nearest neighbours (Å) after each atom.
Atoms (fractional coordinates):
Tm (0.0000, 0.0000, 0.2394)  3 C 2.40, 3 F 2.61
Tm (0.0000, 0.0000, 0.7606)  3 C 2.40, 3 F 2.61
Tm (0.3333, 0.6667, 0.4273)  3 C 2.40, 3 F 2.61
Tm (0.3333, 0.6667, 0.9061)  3 C 2.40, 3 F 2.61
Tm (0.6667, 0.3333, 0.0939)  3 C 2.40, 3 F 2.61
Tm (0.6667, 0.3333, 0.5727)  3 C 2.40, 3 F 2.61
C (0.0000, 0.0000, 0.5000)  6 Tm 2.40
C (0.3333, 0.6667, 0.1667)  6 Tm 2.40
C (0.6667, 0.3333, 0.8333)  6 Tm 2.40
F (0.0000, 0.0000, 0.0000)  6 Tm 2.61
F (0.3333, 0.6667, 0.6667)  6 Tm 2.61
F (0.6667, 0.3333, 0.3333)  6 Tm 2.61

Calculated values
For the total DFT energy (no corrections), the calculation gives -6.5751 eV per atom. As for the uncorrected formation energy: -1.57 eV per atom. The energy above the lowest structure with this stoichiometry comes out at 0.0 kJ/mol of formula units.

***

# 6
First-principles (GGA-PBE) data for a relaxed structure of UCF, as listed in Alexandria.

a b c (Å): 7.0148 3.5754 6.7861
angles (deg): 90.00 97.58 90.00
With the nearest neighbours (Å) after each atom.
Atoms (fractional coordinates):
U (0.1528, 0.0000, 0.2024)  1 C 2.24, 2 F 2.43
U (0.3472, 0.5000, 0.7976)  1 C 2.24, 2 F 2.43
U (0.6528, 0.5000, 0.2024)  1 C 2.24, 2 F 2.43
U (0.8472, 0.0000, 0.7976)  1 C 2.24, 2 F 2.43
C (0.0767, 0.5000, 0.9410)  1 C 1.42
C (0.4233, 0.0000, 0.0590)  1 C 1.42
C (0.5767, 0.0000, 0.9410)  1 C 1.42
C (0.9233, 0.5000, 0.0590)  1 C 1.42
F (0.1730, 0.0000, 0.6088)  2 U 2.43, 3 F 2.64-2.67
F (0.3270, 0.5000, 0.3912)  2 U 2.43, 3 F 2.64-2.67
F (0.6730, 0.5000, 0.6088)  2 U 2.43, 3 F 2.64-2.67
F (0.8270, 0.0000, 0.3912)  2 U 2.43, 3 F 2.64-2.67

Calculated values
For the total DFT energy (no corrections), the calculation gives -9.0019 eV per atom. As for the uncorrected formation energy: -1.54 eV per atom. The energy above the lowest structure with this stoichiometry comes out at 0.0 kJ/mol of formula units.